## TlReBr2 (PBE)

Data for an optimized crystal structure of TlReBr2.

POSCAR file:
```
TlReBr2
1.0
-1.6118 2.5069 7.0063
1.6118 -2.5069 7.0063
1.6118 2.5069 -7.0063
Tl Re Br
1 1 2
Direct
0.0000 0.0000 0.0000 Tl
0.5000 0.5000 0.0000 Re
0.3522 0.8522 0.5000 Br
0.6478 0.1478 0.5000 Br
```

Computed properties:
- space-group type = Immm, No. 71
- DFT total energy (eV/f.u.) = -16.6
- energy relative to the lowest polymorph listed for this composition (eV per atom) = 0.0618
- magnetic moment (μB/cell) = 0.41